Material: Mg4Sb2H5
Method: DFT, PBE
State: relaxed

Computed properties:
The space-group type is P1, No. 1. For the energy, the calculation gives -32.32 eV per formula unit.

abc: 5.0159 5.4144 6.4519
angles: 88.86 72.95 77.58
Closest atoms and distances in Å follow each position.
Sites, in units of the cell vectors:
Mg1 0.0000 0.0000 0.0000  3 H 1.90-2.06
Mg2 0.0633 0.4317 0.6258  3 H 1.93-2.13
Mg3 0.4451 0.4348 0.9416  4 H 1.90-2.10
Mg4 0.6734 0.9400 0.6184  4 H 1.91-2.12
Sb1 0.3782 0.9772 0.2929  1 H 2.61, 1 Mg 2.88
Sb2 0.6622 0.4143 0.3152  1 H 2.82, 3 Mg 2.91-3.07, 2 Sb 3.04-3.09
H1 0.1469 0.6709 0.8650  2 Mg 1.90-1.92
H2 0.2931 0.1865 0.8064  4 Mg 2.01-2.13
H3 0.6903 0.6493 0.8003  3 Mg 1.90-2.01
H4 0.8118 0.1610 0.7821  4 Mg 1.97-2.18
H5 0.9960 0.7064 0.4396  2 Mg 1.91-1.93


Material: MgSbH
Method: DFT, PBE
State: relaxed

Computed properties:
The space-group type is Pmc2_1, No. 26. For the energy, the calculation gives -9.42 eV per formula unit. The calculation puts the distance to the lowest polymorph of the same formula at 39.4 meV per atom.

abc: 5.5738 3.1518 6.1130
angles: 90.00 90.00 90.00
Closest atoms and distances in Å follow each position.
Sites, in units of the cell vectors:
Mg1 0.0000 0.1791 0.0000  3 H 1.88-2.00
Mg2 0.0000 0.8209 0.5000  3 H 1.88-2.00
Sb1 0.5000 0.0811 0.3894  2 Mg 2.98, 4 Sb 3.10-3.15, 2 H 3.34
Sb2 0.5000 0.9189 0.8894  2 Mg 2.98, 4 Sb 3.10-3.15, 2 H 3.34
H1 0.0000 0.3408 0.6833  3 Mg 1.88-2.00
H2 0.0000 0.6592 0.1833  3 Mg 1.88-2.00


Question: Which value of energy does entry 2 give?
Answer: -9.42 eV per formula unit


Question: Which of these has the highest energy?
Answer: MgSbH